Crystalline Zr4Hg3 at its relaxed geometry, computed with PBE-GGA.

```
Zr4Hg3
1.0
-5.3302 -6.0242 -2.4299
0.7876 -3.4912 -7.6026
3.0912 -3.5154 1.9346
Hg Zr
6 8
direct
0.7209 0.4240 0.0000
0.5258 0.3743 0.5000
0.6712 0.6687 0.5000
0.2315 0.8141 0.5000
0.4265 0.8638 0.0000
0.2811 0.5694 0.0000
0.8454 0.7189 0.0000
0.1429 0.2857 0.0000
0.0071 0.9882 0.0000
0.9453 0.2499 0.5000
0.3763 0.0881 0.5000
0.8095 0.9524 0.5000
0.1070 0.5191 0.5000
0.5761 0.1500 0.0000
```

Summary:
Calculated volume (Å³/atom): 22.12
Distance to the lowest polymorph of the same formula (eV/atom): 0.008
DFT total energy (eV/cell): -70.55
ΔH_f (0 K) (eV/f.u.): -0.19